Compound: Sm5Tm5Sc2
Source: Alexandria via LeMat-Bulk
Functional: PBE-GGA
Structure: relaxed

Calculated values
Energy   -4.85 eV per atom
Total magnetic moment   0.00 Bohr magnetons per cell
Formation enthalpy at 0 K   0.037 eV/atom
DOS at the Fermi energy   18.0 states/eV/f.u.

abc: 14.9369 4.9697 11.0426
angles: 90.00 116.74 90.00
Closest atoms and distances in Å follow each position.
Space group C2/m (No. 12)
One atom of each set of equivalent atoms:
Sm1 0.0000 0.0000 0.0000 (multiplicity 2)  8 Tm 3.52-3.56, 4 Sm 3.53
Sm2 0.0803 0.0000 0.7440 (multiplicity 4)  7 Tm 3.46-3.56, 2 Sc 3.47-3.50, 3 Sm 3.53-3.55
Sm3 0.2500 0.0000 0.2568 (multiplicity 4)  3 Sc 3.40-3.46, 6 Tm 3.48-3.56, 3 Sm 3.53-3.55
Tm1 0.0000 0.5000 0.5000 (multiplicity 2)  2 Tm 3.46, 6 Sm 3.46-3.48, 4 Sc 3.54
Tm2 0.0871 0.5000 0.2583 (multiplicity 4)  3 Sc 3.42-3.44, 3 Tm 3.46-3.57, 6 Sm 3.48-3.56
Tm3 0.1666 0.5000 0.9992 (multiplicity 4)  4 Tm 3.51-3.57, 8 Sm 3.52-3.56
Sc1 0.1685 0.0000 0.4992 (multiplicity 4)  5 Sm 3.40-3.50, 5 Tm 3.42-3.54, 2 Sc 3.47

Compound: Sm3Tm4Sc
Source: Alexandria via LeMat-Bulk
Functional: PBE-GGA
Structure: relaxed

Calculated values
Energy   -4.66 eV per atom
Polymorph energy (0 for the lowest one)   0.91 eV/f.u.
Total magnetic moment   0.00 Bohr magnetons per cell
Formation enthalpy at 0 K   0.136 eV/atom
DOS at the Fermi energy   12.2 states/eV/f.u.

abc: 3.4524 8.6782 8.6783
angles: 82.74 79.56 79.71
Closest atoms and distances in Å follow each position.
Space group P-1 (No. 2)
One atom of each set of equivalent atoms:
Sm1 0.0000 0.0000 0.0000 (multiplicity 1)  6 Sm 3.45-3.74, 6 Tm 3.78-3.86
Sm2 0.2432 0.2595 0.2596 (multiplicity 2)  6 Tm 3.36-3.54, 4 Sm 3.45-3.74, 2 Sc 3.45-3.54
Tm1 0.3505 0.3922 0.8759 (multiplicity 2)  1 Sc 3.25, 3 Sm 3.36-3.54, 5 Tm 3.39-3.45
Tm2 0.3497 0.8761 0.3917 (multiplicity 2)  1 Sc 3.26, 3 Sm 3.36-3.54, 5 Tm 3.39-3.45
Sc1 0.5000 0.5000 0.5000 (multiplicity 1)  4 Tm 3.25-3.26, 2 Sc 3.45, 4 Sm 3.45-3.54

Compound: Sm11Tm4Sc9
Source: Alexandria via LeMat-Bulk
Functional: PBE-GGA
Structure: relaxed

Calculated values
Energy   -5.18 eV per atom
Total magnetic moment   0.00 Bohr magnetons per cell
Formation enthalpy at 0 K   0.100 eV/atom
DOS at the Fermi energy   33.5 states/eV/f.u.

abc: 16.2575 24.7129 3.5562
angles: 90.00 90.00 90.00
Closest atoms and distances in Å follow each position.
Space group Cmmm (No. 65)
One atom of each set of equivalent atoms:
Sm1 0.0000 0.0000 0.0000 (multiplicity 2)  8 Sc 3.41, 2 Sm 3.56
Sm2 0.0000 0.1606 0.0000 (multiplicity 4)  5 Sm 3.56-3.97, 8 Sc 3.60-3.61
Sm3 0.0000 0.3668 0.0000 (multiplicity 4)  4 Tm 3.22, 4 Sc 3.42, 2 Sm 3.56
Sm4 0.2136 0.5000 0.0000 (multiplicity 4)  4 Tm 3.21, 4 Sc 3.48, 2 Sm 3.56
Sm5 0.2196 0.1815 0.0000 (multiplicity 8)  2 Tm 3.32, 6 Sc 3.40-3.64, 4 Sm 3.53-3.61
Tm1 0.1582 0.3983 0.5000 (multiplicity 8)  6 Sm 3.21-3.32, 2 Sc 3.34-3.36, 2 Tm 3.56
Sc1 0.0000 0.5000 0.5000 (multiplicity 2)  2 Sc 3.56, 4 Tm 3.60, 8 Sm 3.74-3.90
Sc2 0.1003 0.2687 0.5000 (multiplicity 8)  3 Sc 3.26-3.56, 1 Tm 3.34, 8 Sm 3.40-3.64
Sc3 0.1400 0.0731 0.5000 (multiplicity 8)  1 Tm 3.36, 8 Sm 3.41-3.61, 3 Sc 3.56-3.61

Compound: Sm3TmSc7
Source: Alexandria via LeMat-Bulk
Functional: PBE-GGA
Structure: relaxed

Calculated values
Energy   -5.42 eV per atom
Total magnetic moment   0.84 Bohr magnetons per cell
Formation enthalpy at 0 K   0.307 eV/atom
DOS at the Fermi energy   14.6 states/eV/f.u.

abc: 5.4907 10.4783 10.7493
angles: 90.00 90.00 90.00
Closest atoms and distances in Å follow each position.
Space group Immm (No. 71)
One atom of each set of equivalent atoms:
Sm1 0.0000 0.0000 0.0000 (multiplicity 2)  4 Sc 3.08
Sm2 0.0000 0.2847 0.5000 (multiplicity 4)  5 Sc 2.98-3.20
Tm1 0.0000 0.5000 0.0000 (multiplicity 2)  2 Sc 2.75
Sc1 0.0000 0.0000 0.5000 (multiplicity 2)  2 Tm 2.75, 2 Sm 2.98
Sc2 0.0000 0.1919 0.2168 (multiplicity 8)  2 Sm 3.08-3.20, 5 Sc 3.09-3.40
Sc3 0.0000 0.5000 0.2918 (multiplicity 4)  1 Tm 3.14, 2 Sm 3.18, 6 Sc 3.33-3.40

Compound: Sm2TmSc5
Source: Alexandria via LeMat-Bulk
Functional: PBE-GGA
Structure: relaxed

Calculated values
Energy   -5.63 eV per atom
Total magnetic moment   0.00 Bohr magnetons per cell
Formation enthalpy at 0 K   0.061 eV/atom
DOS at the Fermi energy   14.9 states/eV/f.u.

abc: 6.7290 13.4589 4.8206
angles: 90.00 90.00 90.00
Closest atoms and distances in Å follow each position.
Space group Pbam (No. 55)
One atom of each set of equivalent atoms:
Sm1 0.2422 0.1270 0.0000 (multiplicity 4)  10 Sc 3.33-3.40, 2 Tm 3.43
Tm1 0.0000 0.5000 0.5000 (multiplicity 2)  8 Sc 3.36-3.40, 4 Sm 3.43
Sc1 0.0000 0.0000 0.5000 (multiplicity 2)  6 Sc 3.33-3.41, 2 Tm 3.36, 4 Sm 3.37
Sc2 0.0086 0.7523 0.5000 (multiplicity 4)  7 Sc 3.33-3.41, 4 Sm 3.36-3.39, 1 Tm 3.40
Sc3 0.2454 0.3741 0.0000 (multiplicity 4)  4 Sm 3.33-3.40, 6 Sc 3.35-3.41, 2 Tm 3.38

Compound: SmTm2Sc
Source: Alexandria via LeMat-Bulk
Functional: PBE-GGA
Structure: relaxed

Calculated values
Energy   -4.95 eV per atom
Polymorph energy (0 for the lowest one)   0.08 eV/f.u.
Total magnetic moment   0.00 Bohr magnetons per cell
Formation enthalpy at 0 K   0.047 eV/atom
DOS at the Fermi energy   6.2 states/eV/f.u.

abc: 3.4800 3.4800 33.7228
angles: 90.00 90.00 120.00
Closest atoms and distances in Å follow each position.
Space group R-3m (No. 166, hexagonal axes)
One atom of each set of equivalent atoms:
Sm1 0.0000 0.0000 0.0000 (multiplicity 3)  6 Sm 3.48, 6 Tm 3.55
Tm1 0.0000 0.0000 0.2464 (multiplicity 6)  3 Sc 3.36, 6 Tm 3.48, 3 Sm 3.55
Sc1 0.0000 0.0000 0.5000 (multiplicity 3)  6 Tm 3.36, 6 Sc 3.48

Compound: Sm2TmSc
Source: Alexandria via LeMat-Bulk
Functional: PBE-GGA
Structure: relaxed

Calculated values
Energy   -4.96 eV per atom
Polymorph energy (0 for the lowest one)   0.27 eV/f.u.
Total magnetic moment   0.00 Bohr magnetons per cell
Formation enthalpy at 0 K   0.098 eV/atom
DOS at the Fermi energy   6.0 states/eV/f.u.

abc: 7.8744 7.8744 7.8744
angles: 90.00 90.00 90.00
Closest atoms and distances in Å follow each position.
Space group Fm-3m (No. 225)
One atom of each set of equivalent atoms:
Sm1 0.2500 0.2500 0.2500 (multiplicity 8)  4 Tm 3.41, 4 Sc 3.41
Tm1 0.0000 0.0000 0.0000 (multiplicity 4)  8 Sm 3.41
Sc1 0.0000 0.0000 0.5000 (multiplicity 4)  8 Sm 3.41

Compound: Sm7Tm3Sc
Source: Alexandria via LeMat-Bulk
Functional: PBE-GGA
Structure: relaxed

Calculated values
Energy   -4.66 eV per atom
Total magnetic moment   0.00 Bohr magnetons per cell
Formation enthalpy at 0 K   0.136 eV/atom
DOS at the Fermi energy   17.8 states/eV/f.u.

abc: 6.9816 18.2919 11.2367
angles: 90.00 90.37 90.00
Closest atoms and distances in Å follow each position.
Space group C2/m (No. 12)
One atom of each set of equivalent atoms:
Sm1 0.2482 0.0000 0.2498 (multiplicity 4)  2 Sc 3.29-3.31, 2 Tm 3.31-3.32
Sm2 0.2484 0.1608 0.0298 (multiplicity 8)  4 Sm 3.33-3.58, 1 Sc 3.43, 3 Tm 3.44
Sm3 0.2480 0.3393 0.5298 (multiplicity 8)  4 Sm 3.34-3.59, 1 Sc 3.43, 3 Tm 3.44
Sm4 0.2491 0.4134 0.2500 (multiplicity 8)  3 Sm 3.17-3.42, 2 Tm 3.46
Tm1 0.0000 0.0000 0.5000 (multiplicity 2)  10 Sm 3.31-3.66, 2 Sc 3.49
Tm2 0.9999 0.2497 0.2501 (multiplicity 8)  6 Sm 3.44-3.46, 2 Tm 3.49
Tm3 0.0000 0.5000 0.0000 (multiplicity 2)  10 Sm 3.32-3.66, 2 Sc 3.49
Sc1 0.0000 0.0000 0.0000 (multiplicity 2)  10 Sm 3.29-3.68, 2 Tm 3.49
Sc2 0.0000 0.5000 0.5000 (multiplicity 2)  10 Sm 3.31-3.67, 2 Tm 3.49

Compound: Sm2Tm12Sc5
Source: Alexandria via LeMat-Bulk
Functional: PBE-GGA
Structure: relaxed

Calculated values
Energy   -4.83 eV per atom
Total magnetic moment   0.00 Bohr magnetons per cell
Formation enthalpy at 0 K   0.160 eV/atom
DOS at the Fermi energy   28.4 states/eV/f.u.

abc: 15.2325 8.9793 8.2527
angles: 90.00 90.50 90.00
Closest atoms and distances in Å follow each position.
Space group C2/m (No. 12)
One atom of each set of equivalent atoms:
Sm1 0.0000 0.1867 0.0000 (multiplicity 4)  8 Tm 3.27-3.51, 1 Sm 3.35, 2 Sc 3.38
Tm1 0.0629 0.0000 0.3202 (multiplicity 4)  2 Sc 3.22-3.29, 2 Sm 3.27, 7 Tm 3.29-3.55
Tm2 0.1009 0.5000 0.8789 (multiplicity 4)  3 Sc 3.23-3.47, 2 Sm 3.36, 4 Tm 3.40-3.54
Tm3 0.1227 0.1931 0.6420 (multiplicity 8)  4 Sc 3.28-3.60, 6 Tm 3.29-3.55, 1 Sm 3.51
Tm4 0.1636 0.3171 0.2419 (multiplicity 8)  5 Tm 3.28-3.55, 5 Sc 3.36-3.68, 1 Sm 3.39
Sc1 0.0000 0.5000 0.5000 (multiplicity 2)  10 Tm 3.47-3.68, 2 Sc 3.60
Sc2 0.1929 0.0000 0.0033 (multiplicity 4)  8 Tm 3.28-3.60, 2 Sm 3.38, 1 Sc 3.65
Sc3 0.2331 0.5000 0.5750 (multiplicity 4)  10 Tm 3.22-3.58, 1 Sc 3.60

Compound: Sm3Tm8Sc3
Source: Alexandria via LeMat-Bulk
Functional: PBE-GGA
Structure: relaxed

Calculated values
Energy   -4.53 eV per atom
Total magnetic moment   0.00 Bohr magnetons per cell
Formation enthalpy at 0 K   0.389 eV/atom
DOS at the Fermi energy   19.1 states/eV/f.u.

abc: 5.3625 9.5201 17.0885
angles: 90.00 90.00 90.00
Closest atoms and distances in Å follow each position.
Space group Immm (No. 71)
One atom of each set of equivalent atoms:
Sm1 0.0000 0.0000 0.0000 (multiplicity 2)  4 Tm 3.14
Sm2 0.0000 0.2402 0.5000 (multiplicity 4)  6 Tm 3.42-3.54, 4 Sc 3.52-3.82, 2 Sm 3.65
Tm1 0.0000 0.1582 0.2982 (multiplicity 8)  4 Tm 3.01-3.14, 1 Sc 3.30
Tm2 0.0000 0.2439 0.1239 (multiplicity 8)  3 Tm 3.09-3.14, 3 Sm 3.14-3.42, 1 Sc 3.23
Sc1 0.0000 0.5000 0.0000 (multiplicity 2)  4 Tm 3.23, 4 Sm 3.52
Sc2 0.0000 0.5000 0.3299 (multiplicity 4)  6 Tm 3.30-3.63

Which of these has the lowest formation enthalpy at 0 K? Sm5Tm5Sc2

The lowest energy belongs to which entry? Sm2TmSc5

Please write out number 8 again, unchanged.
Compound: Sm7Tm3Sc
Source: Alexandria via LeMat-Bulk
Functional: PBE-GGA
Structure: relaxed

Calculated values
Energy   -4.66 eV per atom
Total magnetic moment   0.00 Bohr magnetons per cell
Formation enthalpy at 0 K   0.136 eV/atom
DOS at the Fermi energy   17.8 states/eV/f.u.

abc: 6.9816 18.2919 11.2367
angles: 90.00 90.37 90.00
Closest atoms and distances in Å follow each position.
Space group C2/m (No. 12)
One atom of each set of equivalent atoms:
Sm1 0.2482 0.0000 0.2498 (multiplicity 4)  2 Sc 3.29-3.31, 2 Tm 3.31-3.32
Sm2 0.2484 0.1608 0.0298 (multiplicity 8)  4 Sm 3.33-3.58, 1 Sc 3.43, 3 Tm 3.44
Sm3 0.2480 0.3393 0.5298 (multiplicity 8)  4 Sm 3.34-3.59, 1 Sc 3.43, 3 Tm 3.44
Sm4 0.2491 0.4134 0.2500 (multiplicity 8)  3 Sm 3.17-3.42, 2 Tm 3.46
Tm1 0.0000 0.0000 0.5000 (multiplicity 2)  10 Sm 3.31-3.66, 2 Sc 3.49
Tm2 0.9999 0.2497 0.2501 (multiplicity 8)  6 Sm 3.44-3.46, 2 Tm 3.49
Tm3 0.0000 0.5000 0.0000 (multiplicity 2)  10 Sm 3.32-3.66, 2 Sc 3.49
Sc1 0.0000 0.0000 0.0000 (multiplicity 2)  10 Sm 3.29-3.68, 2 Tm 3.49
Sc2 0.0000 0.5000 0.5000 (multiplicity 2)  10 Sm 3.31-3.67, 2 Tm 3.49